A geometry-optimized TaCoHg4 structure, computed with PBE.

Values from the calculation:
raw total energy	-2.366	eV per atom

abc: 7.9108 7.9108 7.9108
angles: 90.00 90.00 90.00
With the nearest neighbours (Å) after each atom.
Space group F-43m (No. 216)
Unique sites:
Ta  0.0000  0.0000  0.0000 x4  12 Hg 3.28, 4 Co 3.43
Co  0.2500  0.2500  0.7500 x4  12 Hg 3.28, 4 Ta 3.43
Hg  0.1251  0.1251  0.3749 x16  6 Hg 2.80



A geometry-optimized Pr4ZnTe3 structure, computed with PBE.

Values from the calculation:
raw total energy	-4.886	eV per atom

abc: 9.1809 12.7055 4.3918
angles: 90.00 90.00 90.00
With the nearest neighbours (Å) after each atom.
Space group Cmmm (No. 65)
Unique sites:
Pr  0.0000  0.2427  0.0000 x4  1 Zn 3.08, 5 Te 3.18-3.27
Pr  0.2378  0.0000  0.5000 x4  2 Zn 3.10, 4 Te 3.18-3.26
Zn  0.0000  0.0000  0.0000 x2  6 Pr 3.08-3.10
Te  0.0000  0.5000  0.0000 x2  6 Pr 3.26-3.27
Te  0.2500  0.2500  0.5000 x4  6 Pr 3.18



A geometry-optimized Ca4La structure, computed with PBE.

Values from the calculation:
energy above the most stable polymorph in this dataset	59.0	kJ per mole of atoms

abc: 5.9971 5.9971 5.9971
angles: 90.00 90.00 90.00
With the nearest neighbours (Å) after each atom.
Space group Pm-3m (No. 221)
Unique sites:
Ca  0.0000  0.0000  0.0000 x1  12 Ca 4.24
Ca  0.0000  0.5000  0.5000 x3  2 La 3.00
La  0.5000  0.5000  0.5000 x1  6 Ca 3.00



A geometry-optimized La2HgRh structure, computed with PBE.

Values from the calculation:
raw total energy	-4.757	eV per atom

abc: 8.0790 8.0790 7.1102
angles: 90.00 90.00 90.00
With the nearest neighbours (Å) after each atom.
Space group I-42d (No. 122)
Unique sites:
La  0.2006  0.2500  0.1250 x8  2 Rh 2.74
Hg  0.0000  0.0000  0.5000 x4  4 La 3.27, 2 Rh 3.56
Rh  0.0000  0.0000  0.0000 x4  4 La 2.74



| no. | calculated density (g/cm3) | size of the total moment (μB per formula unit) |
| --- | --- | --- |
| 1 | 13.983 | 2.27 |
| 2 | 6.560 | 0.00 |
| 3 | 2.304 | 0.64 |
| 4 | 8.320 | 0.00 |